A relaxed structure of SrYZr, computed with PBE.

The structure belongs to space group F-43m (No. 216); the cell edges are 7.8490, 7.8490 and 7.8490 Å and the angles 90.00°, 90.00° and 90.00°. The distinct sites, in fractional coordinates, are Sr at (0.0000, 0.0000, 0.0000), Y at (0.0000, 0.0000, 0.5000) and Zr at (0.2500, 0.2500, 0.7500).

The calculation puts the total energy at -54.4 eV/cell. The calculation puts the polymorph energy (0 for the lowest one) at 765 meV per atom. The calculation puts the density of states at the Fermi level at 7.14 states/eV/f.u. The calculation puts the formation enthalpy at 0 K at 1.033 eV/atom.



A relaxed structure of SrY2Zr, computed with PBE.

The structure belongs to space group Cmmm (No. 65); the cell edges are 5.0430, 5.0532 and 10.4627 Å and the angles 90.00°, 90.00° and 90.00°. The distinct sites, in fractional coordinates, are Sr at (0.0000, 0.0000, 0.0000), Y at (0.0000, 0.5000, 0.2952) and Zr at (0.0000, 0.0000, 0.5000).

The calculation puts the total energy at -45.0 eV/cell. The calculation puts the polymorph energy (0 for the lowest one) at 0 meV per atom. The calculation puts the density of states at the Fermi level at 6.89 states/eV/f.u. The calculation puts the formation enthalpy at 0 K at 0.165 eV/atom.



A relaxed structure of SrY2Zr, computed with PBE.

The structure belongs to space group I-4m2 (No. 119); the cell edges are 5.0209, 5.0209 and 10.1506 Å and the angles 90.00°, 90.00° and 90.00°. The distinct sites, in fractional coordinates, are Sr at (0.0000, 0.0000, 0.0000), Y at (0.0000, 0.0000, 0.5000), Y at (0.0000, 0.5000, 0.7500) and Zr at (0.0000, 0.5000, 0.2500).

The calculation puts the total energy at -43.5 eV/cell. The calculation puts the polymorph energy (0 for the lowest one) at 190 meV per atom. The calculation puts the density of states at the Fermi level at 7.19 states/eV/f.u. The calculation puts the formation enthalpy at 0 K at 0.355 eV/atom.



A relaxed structure of SrY2Zr, computed with PBE.

The structure belongs to space group I-42d (No. 122); the cell edges are 4.8207, 4.8207 and 23.4662 Å and the angles 90.00°, 90.00° and 90.00°. The distinct sites, in fractional coordinates, are Sr at (0.0000, 0.0000, 0.0000), Y at (0.2282, 0.7500, 0.6250) and Zr at (0.0000, 0.0000, 0.5000).

The calculation puts the total energy at -80.8 eV/cell. The calculation puts the polymorph energy (0 for the lowest one) at 577 meV per atom. The calculation puts the density of states at the Fermi level at 6.29 states/eV/f.u. The calculation puts the formation enthalpy at 0 K at 0.742 eV/atom.



A relaxed structure of SrY2Zr, computed with PBE.

The structure belongs to space group C2/m (No. 12); the cell edges are 11.4590, 3.5070 and 6.5375 Å and the angles 90.00°, 99.23° and 90.00°. The distinct sites, in fractional coordinates, are Sr at (0.0000, 0.0000, 0.0000), Y at (0.2383, 0.0000, 0.7175) and Zr at (0.0000, 0.5000, 0.5000).

The calculation puts the total energy at -44.1 eV/cell. The calculation puts the polymorph energy (0 for the lowest one) at 118 meV per atom. The calculation puts the density of states at the Fermi level at 5.77 states/eV/f.u. The calculation puts the formation enthalpy at 0 K at 0.283 eV/atom.



A relaxed structure of SrY2Zr, computed with PBE.

The structure belongs to space group I4/mmm (No. 139); the cell edges are 5.1209, 5.1209 and 9.7432 Å and the angles 90.00°, 90.00° and 90.00°. The distinct sites, in fractional coordinates, are Sr at (0.0000, 0.0000, 0.0000), Y at (0.0000, 0.5000, 0.2500) and Zr at (0.0000, 0.0000, 0.5000).

The calculation puts the total energy at -43.6 eV/cell. The calculation puts the polymorph energy (0 for the lowest one) at 175 meV per atom. The calculation puts the density of states at the Fermi level at 7.16 states/eV/f.u. The calculation puts the formation enthalpy at 0 K at 0.341 eV/atom.